Density functional theory data (PBE-GGA) for a geometry-optimized Ta2Bi2Au structure.

As for the energy above the most stable polymorph in this dataset: 161 meV per atom. Its symmetry is No. 139.

a = 7.120 Å, b = 7.120 Å, c = 7.120 Å
α = 144.63°, β = 144.63°, γ = 50.88°
Element x y z (fractional)
Au 0.000 0.000 0.000
Ta 0.405 0.405 0.000
Ta 0.595 0.595 0.000
Bi 0.250 0.750 0.500
Bi 0.750 0.250 0.500

=====

Density functional theory data (PBE-GGA) for a geometry-optimized Ta2Bi2Au structure.

As for the energy above the most stable polymorph in this dataset: 0 meV per atom. Its symmetry is No. 139.

a = 7.697 Å, b = 7.697 Å, c = 7.697 Å
α = 149.09°, β = 149.09°, γ = 44.28°
Element x y z (fractional)
Bi 0.396 0.396 0.000
Bi 0.604 0.604 0.000
Ta 0.250 0.750 0.500
Ta 0.750 0.250 0.500
Au 0.000 0.000 0.000

=====

Density functional theory data (PBE-GGA) for a geometry-optimized Ta3Bi5Au structure.

Its symmetry is No. 191. The electronic total energy comes out at -6.35 eV/atom.

a = 5.772 Å, b = 5.772 Å, c = 8.692 Å
α = 90.00°, β = 90.00°, γ = 120.00°
Element x y z (fractional)
Bi 0.667 0.333 0.208
Bi 0.667 0.333 0.792
Bi 0.333 0.667 0.792
Bi 0.333 0.667 0.208
Bi 0.000 0.000 0.500
Ta 0.000 0.500 0.500
Ta 0.500 0.000 0.500
Ta 0.500 0.500 0.500
Au 0.000 0.000 0.000

=====

Density functional theory data (PBE-GGA) for a geometry-optimized TbBi2Au2 structure.

Its symmetry is No. 139. The electronic total energy comes out at -4.07 eV/atom.

a = 4.627 Å, b = 4.627 Å, c = 7.069 Å
α = 109.10°, β = 109.10°, γ = 90.00°
Element x y z (fractional)
Bi 0.750 0.250 0.500
Bi 0.250 0.750 0.500
Au 0.603 0.603 0.207
Au 0.397 0.397 0.793
Tb 0.000 0.000 0.000

=====

Density functional theory data (PBE-GGA) for a geometry-optimized TbYBi4Au2 structure.

Its symmetry is No. 99. The electronic total energy comes out at -4.75 eV/atom.

a = 4.607 Å, b = 4.607 Å, c = 9.932 Å
α = 90.00°, β = 90.00°, γ = 90.00°
Element x y z (fractional)
Au 0.000 0.500 0.000
Au 0.500 0.000 0.000
Y 0.000 0.000 0.233
Bi 0.000 0.500 0.500
Bi 0.500 0.000 0.500
Bi 0.500 0.500 0.198
Bi 0.000 0.000 0.802
Tb 0.500 0.500 0.767

=====

Density functional theory data (PBE-GGA) for a geometry-optimized TcBiAu structure.

As for the energy above the most stable polymorph in this dataset: 0 meV per atom. Its symmetry is No. 216.

a = 4.554 Å, b = 4.554 Å, c = 4.554 Å
α = 60.00°, β = 60.00°, γ = 60.00°
Element x y z (fractional)
Tc 0.000 0.000 0.000
Bi 0.750 0.750 0.750
Au 0.250 0.250 0.250

=====

Density functional theory data (PBE-GGA) for a geometry-optimized BiTeAu structure.

Its symmetry is No. 62. The electronic total energy comes out at -3.48 eV/atom.

a = 9.101 Å, b = 4.572 Å, c = 8.475 Å
α = 90.00°, β = 90.00°, γ = 90.00°
Element x y z (fractional)
Bi 0.864 0.750 0.552
Bi 0.136 0.250 0.448
Bi 0.636 0.250 0.052
Bi 0.364 0.750 0.948
Au 0.011 0.250 0.752
Au 0.989 0.750 0.248
Au 0.489 0.750 0.252
Au 0.511 0.250 0.748
Te 0.154 0.250 0.042
Te 0.346 0.750 0.542
Te 0.846 0.750 0.958
Te 0.654 0.250 0.458

=====

Density functional theory data (PBE-GGA) for a geometry-optimized BiTeAu structure.

Its symmetry is No. 62. The electronic total energy comes out at -3.57 eV/atom.

a = 7.139 Å, b = 4.247 Å, c = 12.276 Å
α = 90.00°, β = 90.00°, γ = 90.00°
Element x y z (fractional)
Au 0.385 0.250 0.874
Au 0.885 0.250 0.626
Au 0.115 0.750 0.374
Au 0.615 0.750 0.126
Te 0.865 0.250 0.126
Te 0.135 0.750 0.874
Te 0.635 0.750 0.626
Te 0.365 0.250 0.374
Bi 0.350 0.250 0.131
Bi 0.850 0.250 0.369
Bi 0.650 0.750 0.869
Bi 0.150 0.750 0.631

=====

Density functional theory data (PBE-GGA) for a geometry-optimized Bi2TeAu structure.

Its symmetry is No. 216. The electronic total energy comes out at -3.42 eV/atom.

a = 5.365 Å, b = 5.365 Å, c = 5.365 Å
α = 60.00°, β = 60.00°, γ = 60.00°
Element x y z (fractional)
Bi 0.250 0.250 0.250
Bi 0.000 0.000 0.000
Au 0.500 0.500 0.500
Te 0.750 0.750 0.750

=====

Density functional theory data (PBE-GGA) for a geometry-optimized BiTeAu structure.

Its symmetry is No. 216. The electronic total energy comes out at -3.32 eV/atom.

a = 5.124 Å, b = 5.124 Å, c = 5.124 Å
α = 60.00°, β = 60.00°, γ = 60.00°
Element x y z (fractional)
Au 0.250 0.250 0.250
Bi 0.000 0.000 0.000
Te 0.750 0.750 0.750

=====

Density functional theory data (PBE-GGA) for a geometry-optimized BiWAu2 structure.

Its symmetry is No. 216. The electronic total energy comes out at -5.12 eV/atom.

a = 4.807 Å, b = 4.807 Å, c = 4.807 Å
α = 60.00°, β = 60.00°, γ = 60.00°
Last column: magnetic moment on the atom in μB.
Element x y z (fractional)
W 0.250 0.250 0.250  0.07
Au 0.000 0.000 0.000  0.00
Au 0.750 0.750 0.750  0.00
Bi 0.500 0.500 0.500  0.00

=====

Density functional theory data (PBE-GGA) for a geometry-optimized Bi5W3Au structure.

Its symmetry is No. 191. The electronic total energy comes out at -6.42 eV/atom.

a = 5.629 Å, b = 5.629 Å, c = 8.639 Å
α = 90.00°, β = 90.00°, γ = 120.00°
Element x y z (fractional)
Bi 0.667 0.333 0.207
Bi 0.667 0.333 0.793
Bi 0.333 0.667 0.793
Bi 0.333 0.667 0.207
Bi 0.000 0.000 0.500
Au 0.000 0.000 0.000
W 0.500 0.500 0.500
W 0.000 0.500 0.500
W 0.500 0.000 0.500

=====

Density functional theory data (PBE-GGA) for a geometry-optimized Bi2WAu structure.

Its symmetry is No. 216. The electronic total energy comes out at -5.07 eV/atom.

a = 5.052 Å, b = 5.052 Å, c = 5.052 Å
α = 60.00°, β = 60.00°, γ = 60.00°
Last column: magnetic moment on the atom in μB.
Element x y z (fractional)
W 0.500 0.500 0.500  0.58
Bi 0.000 0.000 0.000  -0.02
Bi 0.750 0.750 0.750  -0.03
Au 0.250 0.250 0.250  0.03

=====

Density functional theory data (PBE-GGA) for a geometry-optimized Y2Bi2Au structure.

Its symmetry is No. 139. The electronic total energy comes out at -5.01 eV/atom.

a = 4.440 Å, b = 4.440 Å, c = 7.825 Å
α = 106.48°, β = 106.48°, γ = 90.00°
Element x y z (fractional)
Bi 0.750 0.250 0.500
Bi 0.250 0.750 0.500
Y 0.403 0.403 0.805
Y 0.597 0.597 0.195
Au 0.000 0.000 0.000

=====

Density functional theory data (PBE-GGA) for a geometry-optimized YBiAu2 structure.

Its symmetry is No. 38. The electronic total energy comes out at -4.77 eV/atom.

a = 4.568 Å, b = 5.859 Å, c = 5.859 Å
α = 38.04°, β = 90.00°, γ = 90.00°
Element x y z (fractional)
Au 0.000 0.084 0.084
Au 0.500 0.921 0.921
Y 0.500 0.642 0.642
Bi 0.000 0.352 0.352

=====

Density functional theory data (PBE-GGA) for a geometry-optimized YBi2Au2 structure.

Its symmetry is No. 139. The electronic total energy comes out at -4.44 eV/atom.

a = 7.072 Å, b = 7.072 Å, c = 7.072 Å
α = 141.80°, β = 141.80°, γ = 55.13°
Element x y z (fractional)
Bi 0.750 0.250 0.500
Bi 0.250 0.750 0.500
Au 0.604 0.604 0.000
Au 0.396 0.396 0.000
Y 0.000 0.000 0.000

=====

Density functional theory data (PBE-GGA) for a geometry-optimized Y2BiAu structure.

Its symmetry is No. 216. The electronic total energy comes out at -5.19 eV/atom.

a = 5.315 Å, b = 5.315 Å, c = 5.315 Å
α = 60.00°, β = 60.00°, γ = 60.00°
Last column: magnetic moment on the atom in μB.
Element x y z (fractional)
Au 0.250 0.250 0.250  0.01
Bi 0.500 0.500 0.500  -0.01
Y 0.750 0.750 0.750  0.19
Y 0.000 0.000 0.000  0.17

=====

Density functional theory data (PBE-GGA) for a geometry-optimized YBi2Au structure.

Its symmetry is No. 216. The electronic total energy comes out at -4.75 eV/atom.

a = 5.346 Å, b = 5.346 Å, c = 5.346 Å
α = 60.00°, β = 60.00°, γ = 60.00°
Element x y z (fractional)
Y 0.500 0.500 0.500
Au 0.250 0.250 0.250
Bi 0.000 0.000 0.000
Bi 0.750 0.750 0.750

=====

Density functional theory data (PBE-GGA) for a geometry-optimized YBiAu2 structure.

Its symmetry is No. 216. The electronic total energy comes out at -4.69 eV/atom.

a = 5.080 Å, b = 5.080 Å, c = 5.080 Å
α = 60.00°, β = 60.00°, γ = 60.00°
Element x y z (fractional)
Au 0.750 0.750 0.750
Au 0.000 0.000 0.000
Bi 0.500 0.500 0.500
Y 0.250 0.250 0.250

=====

Density functional theory data (PBE-GGA) for a geometry-optimized Zr2Bi2Au structure.

Its symmetry is No. 139. The electronic total energy comes out at -5.45 eV/atom.

a = 6.903 Å, b = 6.903 Å, c = 6.903 Å
α = 137.99°, β = 137.99°, γ = 60.92°
Element x y z (fractional)
Zr 0.250 0.750 0.500
Zr 0.750 0.250 0.500
Au 0.000 0.000 0.000
Bi 0.377 0.377 0.000
Bi 0.623 0.623 0.000